# 1
Computed, not measured: a relaxed Y2BeBr crystal at the GGA-PBE level of DFT.

Calculated values
Electronic total energy ... -4.90 eV per atom
Crystal system ... orthorhombic
Symmetry ... No. 38
N(E_F) ... 1.005 states/eV per atom
ΔE_f (raw) ... -0.3203 eV per atom

Cell: 5.7985 5.7985 4.6932 Å, 90.02 90.02 35.79°
Atoms (fractional coordinates):
Y (0.0050, 0.0050, 0.1246)
Y (0.7372, 0.7372, 0.6253)
Be (0.4893, 0.4893, 0.6247)
Br (0.2685, 0.2685, 0.1254)

# 2
Computed, not measured: a relaxed YBeBr2 crystal at the GGA-PBE level of DFT.

Calculated values
Electronic total energy ... -3.65 eV per atom
Crystal system ... monoclinic
Symmetry ... No. 12
N(E_F) ... 0.574 states/eV per atom
ΔE_f (raw) ... -0.2662 eV per atom

Cell: 5.6918 5.7578 3.7553 Å, 69.80 92.22 120.46°
Atoms (fractional coordinates):
Y (0.0000, 0.5000, 0.5000)
Be (0.5000, 0.5000, 0.0000)
Br (0.0000, 0.0000, 0.0000)
Br (0.5000, 0.0000, 0.5000)

# 3
Computed, not measured: a relaxed Y2BeBr crystal at the GGA-PBE level of DFT.

Calculated values
Electronic total energy ... -4.62 eV per atom
Crystal system ... tetragonal
Symmetry ... No. 119
N(E_F) ... 1.193 states/eV per atom
ΔE_f (raw) ... -0.0380 eV per atom

Cell: 6.4177 6.4177 6.4177 Å, 142.57 142.57 53.97°
Atoms (fractional coordinates):
Y (0.0000, 0.0000, 0.0000)
Y (0.2500, 0.7500, 0.5000)
Be (0.5000, 0.5000, 0.0000)
Br (0.7500, 0.2500, 0.5000)

# 4
Computed, not measured: a relaxed Y2BeBr crystal at the GGA-PBE level of DFT.

Calculated values
Electronic total energy ... -4.56 eV per atom
Crystal system ... tetragonal
Symmetry ... No. 122
N(E_F) ... 1.222 states/eV per atom
ΔE_f (raw) ... 0.0260 eV per atom

Cell: 6.2556 6.2556 7.8333 Å, 66.47 66.47 90.00°
Atoms (fractional coordinates):
Y (0.5798, 0.1250, 0.2500)
Y (0.1702, 0.6250, 0.2500)
Y (0.3750, 0.4202, 0.7500)
Y (0.8750, 0.8298, 0.7500)
Be (0.5000, 0.5000, 0.0000)
Be (0.2500, 0.7500, 0.5000)
Br (0.0000, 0.0000, 0.0000)
Br (0.7500, 0.2500, 0.5000)